VASP calculation (PBE-GGA) on a relaxed LaEr5Sc crystal.

Lattice parameters (Å, degrees): 6.933 8.312 8.312 97.68 103.07 103.07
Positions (direct):
La1 0.750 0.344 0.156
La2 0.250 0.656 0.844
Er1 0.535 0.892 0.659
Er2 0.639 0.781 0.232
Er3 0.035 0.159 0.392
Er4 0.750 0.610 0.890
Er5 0.861 0.268 0.719
Er6 0.139 0.732 0.281
Er7 0.250 0.390 0.110
Er8 0.965 0.841 0.608
Er9 0.361 0.219 0.768
Er10 0.465 0.108 0.341
Sc1 0.000 0.000 0.000
Sc2 0.500 0.500 0.500

Results
- ΔE_f: 0.211 eV per atom
- N(E_F): 1.56 states/eV/atom


VASP calculation (PBE-GGA) on a relaxed LaEr8Sc2 crystal.

Lattice parameters (Å, degrees): 5.811 9.095 9.566 61.62 72.42 50.54
Positions (direct):
La1 0.500 0.000 0.000
Er1 0.770 0.097 0.270
Er2 0.770 0.367 0.730
Er3 0.246 0.496 0.000
Er4 0.500 0.797 0.405
Er5 0.500 0.203 0.595
Er6 0.754 0.504 0.000
Er7 0.230 0.633 0.270
Er8 0.230 0.903 0.730
Sc1 0.000 0.313 0.373
Sc2 0.000 0.687 0.627

Results
- E above lowest polymorph: 0.122 eV/atom
- ΔE_f: 0.171 eV per atom
- N(E_F): 1.46 states/eV/atom


VASP calculation (PBE-GGA) on a relaxed La2Er3Sc4 crystal.

Lattice parameters (Å, degrees): 5.395 6.577 8.593 112.51 108.30 90.00
Positions (direct):
La1 0.333 0.956 0.667
La2 0.667 0.044 0.333
Er1 0.891 0.371 0.781
Er2 0.109 0.629 0.219
Er3 0.000 0.000 0.000
Sc1 0.536 0.320 0.072
Sc2 0.752 0.627 0.504
Sc3 0.464 0.680 0.928
Sc4 0.248 0.373 0.496

Results
- ΔE_f: 0.085 eV per atom
- N(E_F): 1.67 states/eV/atom


VASP calculation (PBE-GGA) on a relaxed LaEr3Sc6 crystal.

Lattice parameters (Å, degrees): 9.270 9.270 6.540 44.87 44.87 60.00
Positions (direct):
La1 0.900 0.900 0.301
Er1 0.400 0.400 0.801
Er2 0.649 0.649 0.052
Er3 0.150 0.150 0.550
Sc1 0.900 0.563 0.299
Sc2 0.237 0.900 0.299
Sc3 0.563 0.237 0.299
Sc4 0.073 0.400 0.799
Sc5 0.728 0.073 0.799
Sc6 0.400 0.728 0.799

Results
- E above lowest polymorph: 0.192 eV/atom
- ΔE_f: 0.406 eV per atom
- N(E_F): 2.25 states/eV/atom


VASP calculation (PBE-GGA) on a relaxed La4Er4Sc crystal.

Lattice parameters (Å, degrees): 6.042 6.042 10.512 106.70 106.70 90.00
Positions (direct):
La1 0.500 0.000 0.000
La2 0.000 0.500 0.000
La3 0.140 0.140 0.280
La4 0.860 0.860 0.720
Er1 0.477 0.477 0.590
Er2 0.523 0.886 0.410
Er3 0.114 0.114 0.590
Er4 0.886 0.523 0.410
Sc1 0.000 0.000 0.000

Results
- ΔE_f: 0.668 eV per atom
- N(E_F): 1.42 states/eV/atom


VASP calculation (PBE-GGA) on a relaxed LaEr5Sc3 crystal.

Lattice parameters (Å, degrees): 8.641 8.641 11.376 58.17 58.17 75.97
Positions (direct):
La1 0.094 0.094 0.671
La2 0.906 0.906 0.329
Er1 0.904 0.374 0.263
Er2 0.281 0.719 0.000
Er3 0.683 0.683 0.014
Er4 0.442 0.442 0.407
Er5 0.558 0.558 0.593
Er6 0.317 0.317 0.986
Er7 0.374 0.904 0.263
Er8 0.719 0.281 0.000
Er9 0.096 0.626 0.737
Er10 0.626 0.096 0.737
Sc1 0.686 0.686 0.742
Sc2 0.737 0.737 0.234
Sc3 0.000 0.000 0.000
Sc4 0.000 0.000 0.500
Sc5 0.314 0.314 0.258
Sc6 0.263 0.263 0.766

Results
- ΔE_f: 0.566 eV per atom
- N(E_F): 1.46 states/eV/atom


VASP calculation (PBE-GGA) on a relaxed La6Er5Sc crystal.

Lattice parameters (Å, degrees): 5.215 9.740 9.580 120.58 105.85 90.00
Positions (direct):
Sc1 0.000 0.000 0.000
Er1 0.667 0.167 0.335
Er2 0.335 0.335 0.670
Er3 0.000 0.500 0.000
Er4 0.665 0.665 0.330
Er5 0.333 0.833 0.665
La1 0.834 0.587 0.669
La2 0.834 0.081 0.669
La3 0.500 0.756 0.000
La4 0.500 0.244 0.000
La5 0.166 0.919 0.331
La6 0.166 0.413 0.331

Results
- ΔE_f: 0.032 eV per atom
- N(E_F): 1.37 states/eV/atom


VASP calculation (PBE-GGA) on a relaxed LaErSc crystal.

Lattice parameters (Å, degrees): 3.736 3.735 13.336 90.02 90.00 90.00
Positions (direct):
La1 0.750 0.250 0.903
La2 0.250 0.750 0.097
Er1 0.750 0.250 0.291
Er2 0.250 0.750 0.709
Sc1 0.750 0.250 0.560
Sc2 0.250 0.750 0.440

Results
- E above lowest polymorph: 0.000 eV/atom
- ΔE_f: 0.052 eV per atom
- N(E_F): 1.65 states/eV/atom